Record 1
# Sc2CuTeRu (PBE-GGA, relaxed)
data_Sc2CuTeRu
_chemical_formula_sum 'Sc2 Cu1 Te1 Ru1'
_cell_length_a 4.8448
_cell_length_b 4.8448
_cell_length_c 4.6894
_cell_angle_alpha 90.00
_cell_angle_beta 90.00
_cell_angle_gamma 90.00
_symmetry_space_group_name_H-M 'P 4/m m m'
_symmetry_Int_Tables_number 123
_symmetry_space_group_name_Hall '-P 4 2'
loop_
_atom_site_label
_atom_site_fract_x
_atom_site_fract_y
_atom_site_fract_z
Sc1 0.0000 0.5000 0.0000
Cu1 0.0000 0.0000 0.0000
Te1 0.0000 0.0000 0.5000
Ru1 0.5000 0.5000 0.5000
# VASP energy, eV for the cell shown: -26.3
# Formation energy without anion corrections, meV/atom: 571

***

Record 2
# RbBaCdSe2 (PBE-GGA, relaxed)
data_RbBaCdSe2
_chemical_formula_sum 'Rb2 Ba2 Cd2 Se4'
_cell_length_a 8.0272
_cell_length_b 5.3219
_cell_length_c 9.0436
_cell_angle_alpha 90.00
_cell_angle_beta 101.84
_cell_angle_gamma 90.00
_symmetry_space_group_name_H-M 'P 1 2/c 1'
_symmetry_Int_Tables_number 13
_symmetry_space_group_name_Hall '-P 2yc'
loop_
_atom_site_label
_atom_site_fract_x
_atom_site_fract_y
_atom_site_fract_z
Rb1 0.0000 0.0211 0.2500
Ba1 0.5000 0.2968 0.7500
Cd1 0.0000 0.5000 0.0000
Se1 0.2981 0.2210 0.0392
# VASP energy, eV for the cell shown: -31.3
# Formation energy without anion corrections, meV/atom: -972

***

Record 3
# AlTlTc2 (PBE-GGA, relaxed)
data_AlTlTc2
_chemical_formula_sum 'Al2 Tl2 Tc4'
_cell_length_a 5.7040
_cell_length_b 8.9249
_cell_length_c 2.8976
_cell_angle_alpha 90.00
_cell_angle_beta 114.42
_cell_angle_gamma 90.00
_symmetry_space_group_name_H-M 'C 1 2/m 1'
_symmetry_Int_Tables_number 12
_symmetry_space_group_name_Hall '-C 2y'
loop_
_atom_site_label
_atom_site_fract_x
_atom_site_fract_y
_atom_site_fract_z
Al1 0.0000 0.0000 0.0000
Tl1 0.0000 0.5000 0.0000
Tc1 0.2500 0.2500 0.5000
# VASP energy, eV for the cell shown: -49.8
# ΔE_f, eV/atom: 0.490

***

Question: Look up the VASP energy of the third one.
Answer: -49.8 eV for the cell shown

***

Question: Which of these has the lowest VASP energy?
Answer: AlTlTc2